Computed, not measured: a geometry-optimized FeIr2 structure at the PBE-GGA level of DFT.

## Properties
Symmetry: C2/m
Formation energy from the elements (kcal/mol of atoms): -1.0
Magnetic moment (μB/f.u.): 2.3

Lattice parameters (Å, degrees): 5.0890 5.0890 6.3563 104.37 104.37 30.93
Closest atoms and distances in Å follow each position.
Fractional coordinates of all 6 atoms:
Fe: 0.0293 0.0293 0.3071  9 Ir 2.63-2.69, 3 Fe 2.66-2.71
Fe: 0.9707 0.9707 0.6929  9 Ir 2.63-2.69, 3 Fe 2.66-2.71
Ir: 0.3109 0.3109 0.3674  5 Fe 2.63-2.69, 7 Ir 2.67-2.75
Ir: 0.3636 0.3636 0.9730  8 Ir 2.61-2.75, 4 Fe 2.66-2.69
Ir: 0.6364 0.6364 0.0270  8 Ir 2.61-2.75, 4 Fe 2.66-2.69
Ir: 0.6891 0.6891 0.6326  5 Fe 2.63-2.69, 7 Ir 2.67-2.75